VASP calculation (GGA+U) on an optimized crystal structure of Ni2Ag3F7.

## Properties
- space group = I4/mmm (139)
- E_tot (eV per cell) = -45.3

Lattice parameters (Å, degrees): 4.0108 4.0108 10.5402 100.97 100.97 90.00
Sites, in units of the cell vectors:
Ni  0.0996  0.0996  0.1992
Ni  0.9004  0.9004  0.8008
Ag  0.3120  0.3120  0.6241
Ag  0.6880  0.6880  0.3759
Ag  0.5000  0.5000  0.0000
F  0.0000  0.0000  0.0000
F  0.9026  0.4026  0.8051
F  0.4026  0.9026  0.8051
F  0.0974  0.5974  0.1949
F  0.5974  0.0974  0.1949
F  0.1982  0.1982  0.3965
F  0.8018  0.8018  0.6035